[1]
Computed, not measured: a geometry-optimized Li2ZnSb structure at the PBE level of DFT.

Calculated values
Symmetry = No. 12
Formation energy (no corrections) = -0.315 eV/atom

Geometry as POSCAR:
```
Li2ZnSb
1.0
-4.471 -1.472 -0.397
4.357 0.218 5.989
-0.910 2.085 2.348
Li Sb Zn
2 1 1
Direct
0.000 0.000 0.000 Li
0.000 0.500 0.500 Li
0.500 0.500 0.000 Sb
0.500 0.000 0.500 Zn
```



[2]
Computed, not measured: a geometry-optimized Ac2CdCu3Pt4 structure at the PBE level of DFT.

Calculated values
Symmetry = No. 115
Energy of formation from the pure elements = -0.61 eV per atom

Geometry as POSCAR:
```
Ac2CdCu3Pt4
1.0
4.204 0.000 0.000
0.000 4.204 0.000
0.000 0.000 11.520
Ac Cd Cu Pt
2 1 3 4
Direct
0.500 0.000 0.231 Ac
0.000 0.500 0.769 Ac
0.500 0.500 0.500 Cd
0.000 0.000 0.500 Cu
0.500 0.000 0.870 Cu
0.000 0.500 0.130 Cu
0.500 0.500 0.000 Pt
0.000 0.000 0.000 Pt
0.500 0.000 0.653 Pt
0.000 0.500 0.347 Pt
```



[3]
Computed, not measured: a geometry-optimized TbHoSi structure at the PBE level of DFT.

Calculated values
Symmetry = No. 216
Distance to the lowest polymorph of the same formula = 58 meV/atom
Formation energy (no corrections) = -0.467 eV/atom

Geometry as POSCAR:
```
TbHoSi
1.0
4.842 0.000 0.000
2.421 4.193 0.000
2.421 1.398 3.953
Si Tb Ho
1 1 1
Direct
0.250 0.250 0.250 Si
0.500 0.500 0.500 Tb
0.000 0.000 0.000 Ho
```